Record 1
## LaTb2Nd2Sm2 (PBE)

Data for LaTb2Nd2Sm2 after structural relaxation.

Calculated values
As for the total energy: -4.72 eV/atom. The density of states at the Fermi level comes out at 10.8 states/eV/cell.

Cell lengths 6.3032, 6.3032, 8.1738 Å; angles 97.37, 97.37, 48.24 degrees
Element x y z (fractional)
1 La 0.0000 0.0000 0.0000
2 Tb 0.2852 0.2852 0.8570
3 Tb 0.7148 0.7148 0.1430
4 Nd 0.1426 0.1426 0.4301
5 Nd 0.8574 0.8574 0.5699
6 Sm 0.4277 0.4277 0.2842
7 Sm 0.5723 0.5723 0.7158

Record 2
## Ba8P3Cl3F (PBE)

Data for Ba8P3Cl3F after structural relaxation.

Calculated values
Its formation energy (no corrections) is -1.64 eV/atom. The density of states at the Fermi level comes out at 3.9 states/eV/cell.

Cell lengths 9.2424, 9.2424, 9.2424 Å; angles 59.66, 59.66, 59.66 degrees
Element x y z (fractional)
1 Ba 0.2342 0.7475 0.7475
2 Ba 0.2437 0.2437 0.2437
3 Ba 0.2525 0.2525 0.7658
4 Ba 0.2525 0.7658 0.2525
5 Ba 0.7475 0.2342 0.7475
6 Ba 0.7475 0.7474 0.2342
7 Ba 0.7563 0.7563 0.7563
8 Ba 0.7658 0.2525 0.2525
9 P 0.0000 0.0000 0.5000
10 P 0.0000 0.5000 0.0000
11 P 0.5000 0.0000 0.0000
12 Cl 0.0000 0.5000 0.5000
13 Cl 0.5000 0.0000 0.5000
14 Cl 0.5000 0.5000 0.0000
15 F 0.5000 0.5000 0.5000

Record 3
## Th3MgIn2 (PBE)

Data for Th3MgIn2 after structural relaxation.

Calculated values
As for the total energy: -4.96 eV/atom. The density of states at the Fermi level comes out at 15.4 states/eV/cell.

Cell lengths 9.5201, 9.5201, 9.5201 Å; angles 139.42, 58.19, 140.14 degrees
Element x y z (fractional)
1 Th 0.1748 0.2265 0.4013
2 Th 0.2500 0.2500 0.0000
3 Th 0.3252 0.7265 0.0517
4 Th 0.6748 0.2735 0.9483
5 Th 0.7500 0.7500 0.0000
6 Th 0.8252 0.7735 0.5987
7 Mg 0.2500 0.7500 0.5000
8 Mg 0.7500 0.2500 0.5000
9 In 0.1324 0.7199 0.8523
10 In 0.3676 0.2199 0.5874
11 In 0.6324 0.7801 0.4126
12 In 0.8676 0.2801 0.1477

Record 4
## Na2AgTe (PBE)

Data for Na2AgTe after structural relaxation.

Calculated values
Its formation energy (no corrections) is -0.16 eV/atom. The density of states at the Fermi level comes out at 3.3 states/eV/cell.

Cell lengths 10.7335, 10.7335, 10.7335 Å; angles 154.81, 154.81, 35.92 degrees
Element x y z (fractional)
1 Na 0.1232 0.6250 0.9982
2 Na 0.3750 0.3732 0.4982
3 Na 0.6268 0.1250 0.0018
4 Na 0.8750 0.8768 0.5018
5 Ag 0.0000 0.0000 0.0000
6 Ag 0.7500 0.2500 0.5000
7 Te 0.2500 0.7500 0.5000
8 Te 0.5000 0.5000 0.0000

Record 5
## GdErCoPd (PBE)

Data for GdErCoPd after structural relaxation.

Calculated values
As for the total energy: -8.22 eV/atom. The density of states at the Fermi level comes out at 2.3 states/eV/cell.

Cell lengths 4.8536, 4.8536, 4.8536 Å; angles 60.00, 60.00, 60.00 degrees
Element x y z (fractional)
1 Gd 0.0000 0.0000 0.0000
2 Er 0.5000 0.5000 0.5000
3 Co 0.2500 0.2500 0.2500
4 Pd 0.7500 0.7500 0.7500

Record 6
## Sc3GaSn (PBE)

Data for Sc3GaSn after structural relaxation.

Calculated values
For the energy above the most stable polymorph in this dataset, the calculation gives 135 meV per atom. The density of states at the Fermi level comes out at 0.9 states/eV/cell.

Cell lengths 5.0288, 5.0288, 5.0288 Å; angles 90.00, 90.00, 90.00 degrees
Element x y z (fractional)
1 Sc 0.0000 0.0000 0.5000
2 Sc 0.0000 0.5000 0.0000
3 Sc 0.5000 0.0000 0.0000
4 Ga 0.0000 0.0000 0.0000
5 Sn 0.5000 0.5000 0.5000

Record 7
## In3GePd (PBE)

Data for In3GePd after structural relaxation.

Calculated values
For the energy above the most stable polymorph in this dataset, the calculation gives 416 meV per atom. The density of states at the Fermi level comes out at 2.6 states/eV/cell.

Cell lengths 5.2403, 5.2403, 5.2403 Å; angles 90.00, 90.00, 90.00 degrees
Element x y z (fractional)
1 In 0.0000 0.0000 0.5000
2 In 0.0000 0.5000 0.0000
3 In 0.5000 0.0000 0.0000
4 Ge 0.0000 0.0000 0.0000
5 Pd 0.5000 0.5000 0.5000

Record 8
## Tb5Nd4Mg2 (PBE)

Data for Tb5Nd4Mg2 after structural relaxation.

Calculated values
For the energy above the most stable polymorph in this dataset, the calculation gives 0 meV per atom. The density of states at the Fermi level comes out at 15.8 states/eV/cell.

Cell lengths 8.7800, 3.4775, 11.5620 Å; angles 90.00, 94.00, 90.00 degrees
Element x y z (fractional)
1 Tb 0.0000 0.0000 0.0000
2 Tb 0.0736 0.0000 0.2916
3 Tb 0.2938 0.0000 0.8307
4 Tb 0.7062 0.0000 0.1693
5 Tb 0.9264 0.0000 0.7084
6 Nd 0.2106 0.5000 0.5484
7 Nd 0.3527 0.5000 0.1126
8 Nd 0.6473 0.5000 0.8874
9 Nd 0.7894 0.5000 0.4516
10 Mg 0.4486 0.0000 0.3690
11 Mg 0.5514 0.0000 0.6310

Record 9
## ZrInBr (PBE)

Data for ZrInBr after structural relaxation.

Calculated values
For the energy above the most stable polymorph in this dataset, the calculation gives 0 meV per atom. Its formation energy (no corrections) is -0.54 eV/atom. The density of states at the Fermi level comes out at 0.4 states/eV/cell.

Cell lengths 3.3841, 3.3841, 8.3866 Å; angles 90.00, 90.00, 120.00 degrees
Element x y z (fractional)
1 Zr 0.0000 0.0000 0.0000
2 In 0.6667 0.3333 0.7117
3 Br 0.3333 0.6667 0.2286

Record 10
## MgP2SeS (PBE)

Data for MgP2SeS after structural relaxation.

Calculated values
For the energy above the most stable polymorph in this dataset, the calculation gives 0 meV per atom. Its formation energy (no corrections) is 0.70 eV/atom. The density of states at the Fermi level comes out at 4.0 states/eV/cell.

Cell lengths 4.7766, 4.7766, 4.8334 Å; angles 90.00, 90.00, 90.00 degrees
Element x y z (fractional)
1 Mg 0.0000 0.0000 0.0000
2 P 0.0000 0.5000 0.5000
3 P 0.5000 0.0000 0.5000
4 Se 0.5000 0.5000 0.5000
5 S 0.5000 0.5000 0.0000

Record 11
## SrGeAsSe2 (PBE)

Data for SrGeAsSe2 after structural relaxation.

Calculated values
For the energy above the most stable polymorph in this dataset, the calculation gives 1022 meV per atom. Its formation energy (no corrections) is 0.61 eV/atom. The density of states at the Fermi level comes out at 6.6 states/eV/cell.

Cell lengths 5.6531, 5.6531, 5.6032 Å; angles 90.00, 90.00, 90.00 degrees
Element x y z (fractional)
1 Sr 0.0000 0.0000 0.0000
2 Ge 0.5000 0.5000 0.5000
3 As 0.0000 0.0000 0.5000
4 Se 0.0000 0.5000 0.0000
5 Se 0.5000 0.0000 0.0000

Record 12
## NiAu2Cl (PBE)

Data for NiAu2Cl after structural relaxation.

Calculated values
For the energy above the most stable polymorph in this dataset, the calculation gives 330 meV per atom. Its formation energy (no corrections) is 0.38 eV/atom. The density of states at the Fermi level comes out at 3.8 states/eV/cell.

Cell lengths 6.2760, 6.2760, 3.1081 Å; angles 104.28, 104.28, 129.86 degrees
Element x y z (fractional)
1 Ni 0.0000 0.0000 0.0000
2 Au 0.0000 0.5000 0.5000
3 Au 0.5000 0.0000 0.5000
4 Cl 0.5000 0.5000 0.0000